No. 1
First-principles (GGA-PBE) data for an optimized crystal structure of BaIn2NiAg, as listed in Alexandria via LeMat-Bulk.

Cell: 4.993 4.993 5.301 Å, 90.00 90.00 90.00°
Sites, in units of the cell vectors:
Ba  0.000  0.000  0.000
In  0.000  0.500  0.500
In  0.500  0.000  0.500
Ni  0.500  0.500  0.500
Ag  0.500  0.500  0.000

Computed properties:
formation energy: -193 meV/atom
space group: No. 123

=====

No. 2
First-principles (GGA-PBE) data for an optimized crystal structure of BaInNiAg2, as listed in Alexandria via LeMat-Bulk.

Cell: 5.174 5.174 4.869 Å, 90.00 90.00 90.00°
Sites, in units of the cell vectors:
Ba  0.000  0.000  0.000
In  0.500  0.500  0.000
Ni  0.500  0.500  0.500
Ag  0.000  0.500  0.500
Ag  0.500  0.000  0.500

Computed properties:
formation energy: -62 meV/atom
space group: No. 123

=====

No. 3
First-principles (GGA-PBE) data for an optimized crystal structure of Ba2In12Ni3Ag, as listed in Alexandria via LeMat-Bulk.

Cell: 8.805 8.805 8.805 Å, 66.35 66.35 66.35°
Sites, in units of the cell vectors:
Ba  0.102  0.102  0.102
Ba  0.898  0.898  0.898
In  0.127  0.624  0.624
In  0.221  0.221  0.580
In  0.221  0.580  0.221
In  0.376  0.376  0.873
In  0.376  0.873  0.376
In  0.420  0.779  0.779
In  0.580  0.221  0.221
In  0.624  0.127  0.624
In  0.624  0.624  0.127
In  0.779  0.420  0.779
In  0.779  0.779  0.420
In  0.873  0.376  0.376
Ni  0.000  0.500  0.500
Ni  0.500  0.000  0.500
Ni  0.500  0.500  0.000
Ag  0.500  0.500  0.500

Computed properties:
formation energy: -38 meV/atom
space group: No. 166

=====

No. 4
First-principles (GGA-PBE) data for an optimized crystal structure of Ba2In6NiAg, as listed in Alexandria via LeMat-Bulk.

Cell: 7.490 7.490 7.490 Å, 120.09 119.76 90.13°
Sites, in units of the cell vectors:
Ba  0.250  0.250  0.000
Ba  0.750  0.750  0.000
In  0.261  0.239  0.500
In  0.261  0.761  0.021
In  0.261  0.761  0.500
In  0.739  0.239  0.500
In  0.739  0.239  0.979
In  0.739  0.761  0.500
Ni  0.500  0.000  0.500
Ag  0.000  0.500  0.500

Computed properties:
formation energy: -173 meV/atom
space group: No. 71

=====

No. 5
First-principles (GGA-PBE) data for an optimized crystal structure of Ba2InAg3O6, as listed in Alexandria via LeMat-Bulk.

Cell: 4.088 4.088 12.668 Å, 90.00 90.00 90.00°
Sites, in units of the cell vectors:
Ba  0.000  0.000  0.205
Ba  0.000  0.000  0.795
In  0.000  0.000  0.500
Ag  0.500  0.500  0.000
Ag  0.500  0.500  0.366
Ag  0.500  0.500  0.634
O  0.000  0.500  0.391
O  0.000  0.500  0.609
O  0.500  0.000  0.391
O  0.500  0.000  0.609
O  0.500  0.500  0.162
O  0.500  0.500  0.838

Computed properties:
space group: No. 123
raw formation energy: -1087 meV/atom

=====

No. 6
First-principles (GGA-PBE) data for an optimized crystal structure of BaInAgO3, as listed in Alexandria via LeMat-Bulk.

Cell: 6.285 6.285 6.755 Å, 111.45 111.45 67.79°
Sites, in units of the cell vectors:
Ba  0.201  0.201  0.132
Ba  0.799  0.799  0.868
In  0.417  0.417  0.749
In  0.583  0.583  0.251
Ag  0.210  0.790  0.500
Ag  0.790  0.210  0.500
O  0.209  0.209  0.541
O  0.212  0.645  0.147
O  0.355  0.788  0.853
O  0.645  0.212  0.147
O  0.788  0.355  0.853
O  0.791  0.791  0.459

Computed properties:
space group: No. 12
raw formation energy: -1293 meV/atom

=====

No. 7
First-principles (GGA-PBE) data for an optimized crystal structure of Ba3InAg2O6, as listed in Alexandria via LeMat-Bulk.

Cell: 6.226 6.226 6.812 Å, 90.00 90.00 120.00°
Sites, in units of the cell vectors:
Ba  0.000  0.000  0.000
Ba  0.333  0.667  0.618
Ba  0.667  0.333  0.382
In  0.000  0.000  0.500
Ag  0.333  0.667  0.135
Ag  0.667  0.333  0.865
O  0.163  0.326  0.311
O  0.163  0.837  0.311
O  0.326  0.163  0.689
O  0.674  0.837  0.311
O  0.837  0.163  0.689
O  0.837  0.674  0.689

Computed properties:
space group: No. 164
raw formation energy: -1436 meV/atom

=====

No. 8
First-principles (GGA-PBE) data for an optimized crystal structure of BaInAgOs2, as listed in Alexandria via LeMat-Bulk.

Cell: 4.998 4.998 6.024 Å, 90.00 90.00 90.00°
Sites, in units of the cell vectors:
Ba  0.000  0.000  0.000
In  0.000  0.000  0.500
Ag  0.500  0.500  0.000
Os  0.000  0.500  0.500
Os  0.500  0.000  0.500

Computed properties:
formation energy: 1870 meV/atom
space group: No. 123

=====

No. 9
First-principles (GGA-PBE) data for an optimized crystal structure of Ba2InAg3Pb4, as listed in Alexandria via LeMat-Bulk.

Cell: 4.955 4.955 12.372 Å, 90.00 90.00 90.00°
Sites, in units of the cell vectors:
Ba  0.000  0.500  0.248
Ba  0.500  0.000  0.752
In  0.500  0.500  0.000
Ag  0.000  0.000  0.000
Ag  0.000  0.500  0.632
Ag  0.500  0.000  0.368
Pb  0.000  0.000  0.500
Pb  0.000  0.500  0.861
Pb  0.500  0.000  0.139
Pb  0.500  0.500  0.500

Computed properties:
formation energy: -285 meV/atom
space group: No. 115

=====

No. 10
First-principles (GGA-PBE) data for an optimized crystal structure of Ba2InAgPb6, as listed in Alexandria via LeMat-Bulk.

Cell: 14.777 14.777 14.777 Å, 29.94 29.94 29.94°
Sites, in units of the cell vectors:
Ba  0.114  0.114  0.114
Ba  0.288  0.288  0.288
Ba  0.712  0.712  0.712
Ba  0.886  0.886  0.886
In  0.428  0.428  0.428
In  0.572  0.572  0.572
Ag  0.000  0.000  0.000
Ag  0.500  0.500  0.500
Pb  0.075  0.663  0.663
Pb  0.225  0.225  0.660
Pb  0.225  0.660  0.225
Pb  0.337  0.337  0.925
Pb  0.337  0.925  0.337
Pb  0.340  0.775  0.775
Pb  0.660  0.225  0.225
Pb  0.663  0.075  0.663
Pb  0.663  0.663  0.075
Pb  0.775  0.340  0.775
Pb  0.775  0.775  0.340
Pb  0.925  0.337  0.337

Computed properties:
formation energy: -149 meV/atom
space group: No. 166

=====

No. 11
First-principles (GGA-PBE) data for an optimized crystal structure of Ba2In4AgPb3, as listed in Alexandria via LeMat-Bulk.

Cell: 5.179 5.179 12.286 Å, 90.00 90.00 90.00°
Sites, in units of the cell vectors:
Ba  0.000  0.500  0.239
Ba  0.500  0.000  0.761
In  0.000  0.000  0.500
In  0.000  0.500  0.881
In  0.500  0.000  0.119
In  0.500  0.500  0.500
Ag  0.500  0.500  0.000
Pb  0.000  0.000  0.000
Pb  0.000  0.500  0.639
Pb  0.500  0.000  0.361

Computed properties:
formation energy: -247 meV/atom
space group: No. 115

=====

No. 12
First-principles (GGA-PBE) data for an optimized crystal structure of BaIn2Ag4Pb, as listed in Alexandria via LeMat-Bulk.

Cell: 10.883 10.883 10.883 Å, 25.55 25.55 25.55°
Sites, in units of the cell vectors:
Ba  0.000  0.000  0.000
In  0.250  0.250  0.250
In  0.750  0.750  0.750
Ag  0.117  0.117  0.117
Ag  0.405  0.405  0.405
Ag  0.595  0.595  0.595
Ag  0.883  0.883  0.883
Pb  0.500  0.500  0.500

Computed properties:
formation energy: -99 meV/atom
space group: No. 166

=====

No. 13
First-principles (GGA-PBE) data for an optimized crystal structure of Ba2In6AgPb, as listed in Alexandria via LeMat-Bulk.

Cell: 14.606 14.606 14.606 Å, 29.22 29.22 29.22°
Sites, in units of the cell vectors:
Ba  0.106  0.106  0.106
Ba  0.276  0.276  0.276
Ba  0.724  0.724  0.724
Ba  0.894  0.894  0.894
In  0.075  0.670  0.670
In  0.222  0.222  0.637
In  0.222  0.637  0.222
In  0.330  0.330  0.925
In  0.330  0.925  0.330
In  0.363  0.778  0.778
In  0.637  0.222  0.222
In  0.670  0.075  0.670
In  0.670  0.670  0.075
In  0.778  0.363  0.778
In  0.778  0.778  0.363
In  0.925  0.330  0.330
Ag  0.000  0.000  0.000
Ag  0.500  0.500  0.500
Pb  0.425  0.425  0.425
Pb  0.575  0.575  0.575

Computed properties:
formation energy: -198 meV/atom
space group: No. 166

=====

No. 14
First-principles (GGA-PBE) data for an optimized crystal structure of BaInAgPb2, as listed in Alexandria via LeMat-Bulk.

Cell: 4.862 4.862 13.463 Å, 90.00 90.00 90.00°
Sites, in units of the cell vectors:
Ba  0.000  0.000  0.000
Ba  0.500  0.500  0.500
In  0.000  0.500  0.250
In  0.500  0.000  0.750
Ag  0.000  0.500  0.750
Ag  0.500  0.000  0.250
Pb  0.000  0.000  0.383
Pb  0.000  0.000  0.617
Pb  0.500  0.500  0.117
Pb  0.500  0.500  0.883

Computed properties:
formation energy: -242 meV/atom
space group: No. 119

=====

No. 15
First-principles (GGA-PBE) data for an optimized crystal structure of BaInAgPd2, as listed in Alexandria via LeMat-Bulk.

Cell: 7.308 7.308 6.146 Å, 90.00 90.00 131.05°
Sites, in units of the cell vectors:
Ba  0.250  0.750  0.781
Ba  0.750  0.250  0.219
In  0.250  0.250  0.500
In  0.750  0.750  0.500
Ag  0.000  0.000  0.000
Ag  0.500  0.500  0.000
Pd  0.148  0.852  0.306
Pd  0.352  0.648  0.306
Pd  0.648  0.352  0.694
Pd  0.852  0.148  0.694

Computed properties:
formation energy: -327 meV/atom
space group: No. 67
relative energy among the computed polymorphs: 0.0000 eV per atom

=====

No. 16
First-principles (GGA-PBE) data for an optimized crystal structure of Ba2In3AgPd4, as listed in Alexandria via LeMat-Bulk.

Cell: 4.843 4.843 10.682 Å, 90.00 90.00 90.00°
Sites, in units of the cell vectors:
Ba  0.000  0.500  0.247
Ba  0.500  0.000  0.753
In  0.000  0.500  0.884
In  0.500  0.000  0.116
In  0.500  0.500  0.500
Ag  0.000  0.000  0.500
Pd  0.000  0.000  0.000
Pd  0.000  0.500  0.630
Pd  0.500  0.000  0.370
Pd  0.500  0.500  0.000

Computed properties:
formation energy: -524 meV/atom
space group: No. 115

=====

No. 17
First-principles (GGA-PBE) data for an optimized crystal structure of BaIn3AgPd, as listed in Alexandria via LeMat-Bulk.

Cell: 7.707 7.707 6.711 Å, 90.00 90.00 126.28°
Sites, in units of the cell vectors:
Ba  0.226  0.774  0.750
Ba  0.774  0.226  0.250
In  0.213  0.213  0.000
In  0.213  0.213  0.500
In  0.355  0.645  0.250
In  0.645  0.355  0.750
In  0.787  0.787  0.000
In  0.787  0.787  0.500
Ag  0.146  0.854  0.250
Ag  0.854  0.146  0.750
Pd  0.444  0.556  0.750
Pd  0.556  0.444  0.250

Computed properties:
formation energy: -297 meV/atom
space group: No. 63

=====

No. 18
First-principles (GGA-PBE) data for an optimized crystal structure of Ba2InAg2Pd5, as listed in Alexandria via LeMat-Bulk.

Cell: 10.640 10.640 3.865 Å, 90.00 90.00 90.00°
Sites, in units of the cell vectors:
Ba  0.173  0.327  0.000
Ba  0.327  0.827  0.000
Ba  0.673  0.173  0.000
Ba  0.827  0.673  0.000
In  0.000  0.000  0.000
In  0.500  0.500  0.000
Ag  0.128  0.628  0.000
Ag  0.372  0.128  0.000
Ag  0.628  0.872  0.000
Ag  0.872  0.372  0.000
Pd  0.000  0.500  0.500
Pd  0.054  0.809  0.500
Pd  0.191  0.054  0.500
Pd  0.309  0.554  0.500
Pd  0.446  0.309  0.500
Pd  0.500  0.000  0.500
Pd  0.554  0.691  0.500
Pd  0.691  0.446  0.500
Pd  0.809  0.946  0.500
Pd  0.946  0.191  0.500

Computed properties:
formation energy: -344 meV/atom
space group: No. 127

=====

No. 19
First-principles (GGA-PBE) data for an optimized crystal structure of BaInAgPd2, as listed in Alexandria via LeMat-Bulk.

Cell: 5.262 5.262 5.043 Å, 90.00 90.00 90.00°
Sites, in units of the cell vectors:
Ba  0.000  0.000  0.000
In  0.500  0.500  0.000
Ag  0.500  0.500  0.500
Pd  0.000  0.500  0.500
Pd  0.500  0.000  0.500

Computed properties:
formation energy: 42 meV/atom
space group: No. 123
relative energy among the computed polymorphs: 0.3697 eV per atom

=====

No. 20
First-principles (GGA-PBE) data for an optimized crystal structure of Ba2InAg6Pd, as listed in Alexandria via LeMat-Bulk.

Cell: 5.695 7.435 7.441 Å, 79.91 67.59 67.52°
Sites, in units of the cell vectors:
Ba  0.230  0.313  0.227
Ba  0.770  0.687  0.773
In  0.000  0.000  0.000
Ag  0.239  0.768  0.263
Ag  0.253  0.905  0.588
Ag  0.272  0.232  0.737
Ag  0.728  0.768  0.263
Ag  0.747  0.095  0.412
Ag  0.761  0.232  0.737
Pd  0.500  0.500  0.500

Computed properties:
formation energy: -183 meV/atom
space group: No. 2

=====

No. 21
First-principles (GGA-PBE) data for an optimized crystal structure of Ba2InAgPd, as listed in Alexandria via LeMat-Bulk.

Cell: 6.111 6.111 5.176 Å, 90.00 90.00 90.00°
Sites, in units of the cell vectors:
Ba  0.000  0.500  0.000
Ba  0.500  0.000  0.000
In  0.000  0.000  0.500
Ag  0.500  0.500  0.500
Pd  0.000  0.000  0.000

Computed properties:
formation energy: -285 meV/atom
space group: No. 123

=====

No. 22
First-principles (GGA-PBE) data for an optimized crystal structure of BaInAgPd3, as listed in Alexandria via LeMat-Bulk.

Cell: 7.049 7.049 7.042 Å, 90.00 90.00 126.08°
Sites, in units of the cell vectors:
Ba  0.185  0.815  0.750
Ba  0.815  0.185  0.250
In  0.131  0.869  0.250
In  0.869  0.131  0.750
Ag  0.426  0.574  0.750
Ag  0.574  0.426  0.250
Pd  0.219  0.219  0.000
Pd  0.219  0.219  0.500
Pd  0.350  0.650  0.250
Pd  0.650  0.350  0.750
Pd  0.781  0.781  0.000
Pd  0.781  0.781  0.500

Computed properties:
formation energy: -251 meV/atom
space group: No. 63